# 1
This record from the Alexandria database describes an optimized crystal structure of Sm6GaTc2Cl3. The functional is GGA-PBE.

Raw formation energy   -749.5 meV per atom

Lattice parameters (Å, degrees): 6.974 6.974 8.041 98.02 98.02 121.24
Element x y z (fractional)
Sm: 0.950 0.578 0.807
Sm: 0.747 0.747 0.252
Sm: 0.050 0.422 0.193
Sm: 0.578 0.950 0.807
Sm: 0.253 0.253 0.748
Sm: 0.422 0.050 0.193
Ga: 0.000 0.000 0.000
Tc: 0.371 0.629 0.000
Tc: 0.629 0.371 0.000
Cl: 0.176 0.824 0.500
Cl: 0.824 0.176 0.500
Cl: 0.500 0.500 0.500

=====

# 2
This record from the Alexandria database describes an optimized crystal structure of Zn2MoH5. The functional is GGA-PBE.

Uncorrected energy   -3.69 eV per atom

Lattice parameters (Å, degrees): 3.366 5.214 5.214 68.22 71.15 71.15
Element x y z (fractional)
Zn: 0.699 0.567 0.104
Zn: 0.698 0.104 0.567
Mo: 0.997 0.037 0.037
H: 0.395 0.139 0.139
H: 0.923 0.400 0.824
H: 0.923 0.824 0.400
H: 0.182 0.680 0.025
H: 0.182 0.025 0.680

=====

# 3
This record from the Alexandria database describes an optimized crystal structure of AcAlAg2. The functional is GGA-PBE.

Uncorrected energy   -3.43 eV per atom

Lattice parameters (Å, degrees): 3.545 3.545 7.494 90.00 90.00 90.00
Element x y z (fractional)
Ac: 0.500 0.500 0.500
Al: 0.500 0.500 0.000
Ag: 0.000 0.000 0.808
Ag: 0.000 0.000 0.192

=====

# 4
This record from the Alexandria database describes an optimized crystal structure of SrAgHgPd. The functional is GGA-PBE.

E above lowest polymorph   86 meV/atom

Lattice parameters (Å, degrees): 5.055 5.055 5.055 60.00 60.00 60.00
Element x y z (fractional)
Sr: 0.500 0.500 0.500
Pd: 0.750 0.750 0.750
Hg: 0.000 0.000 0.000
Ag: 0.250 0.250 0.250

=====

# 5
This record from the Alexandria database describes an optimized crystal structure of Hf2TiHIr. The functional is GGA-PBE.

Uncorrected energy   -8.47 eV per atom

Lattice parameters (Å, degrees): 4.547 4.547 3.603 90.00 90.00 90.00
Last column: magnetic moment on the atom in μB.
Element x y z (fractional)
H: 0.000 0.000 0.000  0.00
Ir: 0.500 0.500 0.500  -0.01
Hf: 0.000 0.500 0.000  0.04
Hf: 0.500 0.000 0.000  0.04
Ti: 0.000 0.000 0.500  0.20

=====

# 6
This record from the Alexandria database describes an optimized crystal structure of HfZn2H. The functional is GGA-PBE.

E above lowest polymorph   704 meV/atom

Lattice parameters (Å, degrees): 4.437 4.437 4.437 60.00 60.00 60.00
Element x y z (fractional)
H: 0.000 0.000 0.000
Zn: 0.250 0.250 0.250
Zn: 0.750 0.750 0.750
Hf: 0.500 0.500 0.500

=====

# 7
This record from the Alexandria database describes an optimized crystal structure of Li2Ti2AlS6. The functional is GGA-PBE.

Raw formation energy   -1288.3 meV per atom

Lattice parameters (Å, degrees): 6.055 6.055 6.464 99.00 99.00 120.28
Last column: magnetic moment on the atom in μB.
Element x y z (fractional)
Li: 0.832 0.168 0.000  0.00
Li: 0.168 0.832 0.000  0.00
Ti: 0.332 0.668 0.500  0.17
Ti: 0.668 0.332 0.500  0.17
Al: 0.000 0.000 0.500  0.01
S: 0.751 0.751 0.724  -0.01
S: 0.076 0.406 0.728  -0.01
S: 0.249 0.249 0.276  -0.01
S: 0.406 0.076 0.728  -0.01
S: 0.924 0.594 0.272  -0.01
S: 0.594 0.924 0.272  -0.01

=====

# 8
This record from the Alexandria database describes an optimized crystal structure of GdAgPtRh. The functional is GGA-PBE.

Uncorrected energy   -8.08 eV per atom

Lattice parameters (Å, degrees): 4.722 4.722 4.722 60.00 60.00 60.00
Last column: magnetic moment on the atom in μB.
Element x y z (fractional)
Gd: 0.000 0.000 0.000  6.99
Rh: 0.250 0.250 0.250  0.01
Ag: 0.500 0.500 0.500  0.01
Pt: 0.750 0.750 0.750  0.00